1.
Density functional theory data (PBE-GGA) for Dy3Y2ScBi2Os after structural relaxation.

```
data_Dy3Y2ScBi2Os
_chemical_formula_sum 'Dy3 Y2 Sc1 Bi2 Os1'
_space_group_name_H-M_alt 'P 1'
_space_group_IT_number 1
_space_group_name_Hall 'P 1'
_cell_length_a 4.220
_cell_length_b 8.202
_cell_length_c 8.202
_cell_angle_alpha 119.44
_cell_angle_beta 90.00
_cell_angle_gamma 90.00
loop_
_atom_site_label
_atom_site_type_symbol
_atom_site_fract_x
_atom_site_fract_y
_atom_site_fract_z
Dy1 Dy 0.000 0.000 0.000
Dy2 Dy 0.000 0.210 0.592
Dy3 Dy 0.000 0.592 0.210
Y1 Y 0.500 0.597 0.826
Y2 Y 0.500 0.826 0.597
Sc1 Sc 0.500 0.361 0.361
Bi1 Bi 0.500 0.263 0.934
Bi2 Bi 0.500 0.934 0.263
Os1 Os 0.000 0.563 0.563
```



2.
Density functional theory data (PBE-GGA) for BaScBeAu after structural relaxation.

```
data_BaScBeAu
_chemical_formula_sum 'Ba1 Sc1 Be1 Au1'
_space_group_name_H-M_alt 'P 1'
_space_group_IT_number 1
_space_group_name_Hall 'P 1'
_cell_length_a 4.947
_cell_length_b 4.947
_cell_length_c 4.947
_cell_angle_alpha 60.00
_cell_angle_beta 60.00
_cell_angle_gamma 60.00
loop_
_atom_site_label
_atom_site_type_symbol
_atom_site_fract_x
_atom_site_fract_y
_atom_site_fract_z
Ba1 Ba 0.000 0.000 0.000
Sc1 Sc 0.250 0.250 0.250
Be1 Be 0.750 0.750 0.750
Au1 Au 0.500 0.500 0.500
```



3.
Density functional theory data (PBE-GGA) for CsKMoSeS2 after structural relaxation.

```
data_CsKMoSeS2
_chemical_formula_sum 'Cs2 K2 Mo2 Se2 S4'
_space_group_name_H-M_alt 'P 1'
_space_group_IT_number 1
_space_group_name_Hall 'P 1'
_cell_length_a 7.169
_cell_length_b 7.831
_cell_length_c 8.617
_cell_angle_alpha 76.54
_cell_angle_beta 68.94
_cell_angle_gamma 65.05
loop_
_atom_site_label
_atom_site_type_symbol
_atom_site_fract_x
_atom_site_fract_y
_atom_site_fract_z
Cs1 Cs 0.166 0.430 0.201
Cs2 Cs 0.834 0.570 0.799
K1 K 0.413 0.815 0.361
K2 K 0.587 0.185 0.639
Mo1 Mo 0.123 0.947 0.834
Mo2 Mo 0.877 0.053 0.166
Se1 Se 0.328 0.627 0.758
Se2 Se 0.672 0.373 0.242
S1 S 0.144 0.150 0.602
S2 S 0.229 0.016 0.025
S3 S 0.771 0.984 0.975
S4 S 0.856 0.850 0.398
```



4.
Density functional theory data (PBE-GGA) for BeMoIr after structural relaxation.

```
data_BeMoIr
_chemical_formula_sum 'Be1 Mo1 Ir1'
_space_group_name_H-M_alt 'P 1'
_space_group_IT_number 1
_space_group_name_Hall 'P 1'
_cell_length_a 4.061
_cell_length_b 4.061
_cell_length_c 4.061
_cell_angle_alpha 60.00
_cell_angle_beta 60.00
_cell_angle_gamma 60.00
loop_
_atom_site_label
_atom_site_type_symbol
_atom_site_fract_x
_atom_site_fract_y
_atom_site_fract_z
Be1 Be 0.000 0.000 0.000
Mo1 Mo 0.500 0.500 0.500
Ir1 Ir 0.250 0.250 0.250
```



5.
Density functional theory data (PBE-GGA) for CsSmSnS3 after structural relaxation.

```
data_CsSmSnS3
_chemical_formula_sum 'Cs2 Sm2 Sn2 S6'
_space_group_name_H-M_alt 'P 1'
_space_group_IT_number 1
_space_group_name_Hall 'P 1'
_cell_length_a 8.847
_cell_length_b 8.847
_cell_length_c 11.635
_cell_angle_alpha 90.00
_cell_angle_beta 90.00
_cell_angle_gamma 153.32
loop_
_atom_site_label
_atom_site_type_symbol
_atom_site_fract_x
_atom_site_fract_y
_atom_site_fract_z
Cs1 Cs 0.190 0.810 0.750
Cs2 Cs 0.810 0.190 0.250
Sm1 Sm 0.500 0.500 0.000
Sm2 Sm 0.500 0.500 0.500
Sn1 Sn 0.108 0.892 0.250
Sn2 Sn 0.892 0.108 0.750
S1 S 0.109 0.891 0.011
S2 S 0.109 0.891 0.489
S3 S 0.494 0.506 0.750
S4 S 0.506 0.494 0.250
S5 S 0.891 0.109 0.511
S6 S 0.891 0.109 0.989
```



6.
Density functional theory data (PBE-GGA) for NdCdTe3Pb after structural relaxation.

```
data_NdCdTe3Pb
_chemical_formula_sum 'Nd2 Cd2 Te6 Pb2'
_space_group_name_H-M_alt 'P 1'
_space_group_IT_number 1
_space_group_name_Hall 'P 1'
_cell_length_a 7.798
_cell_length_b 7.798
_cell_length_c 11.495
_cell_angle_alpha 90.00
_cell_angle_beta 90.00
_cell_angle_gamma 146.29
loop_
_atom_site_label
_atom_site_type_symbol
_atom_site_fract_x
_atom_site_fract_y
_atom_site_fract_z
Nd1 Nd 0.000 0.000 0.000
Nd2 Nd 0.000 0.000 0.500
Cd1 Cd 0.478 0.522 0.750
Cd2 Cd 0.522 0.478 0.250
Te1 Te 0.103 0.897 0.750
Te2 Te 0.353 0.647 0.553
Te3 Te 0.353 0.647 0.947
Te4 Te 0.647 0.353 0.053
Te5 Te 0.647 0.353 0.447
Te6 Te 0.897 0.103 0.250
Pb1 Pb 0.210 0.790 0.250
Pb2 Pb 0.790 0.210 0.750
```



| no. | E (eV/atom) |
| --- | --- |
| 1 | -6.386 |
| 2 | -3.633 |
| 3 | -5.027 |
| 4 | -7.727 |
| 5 | -4.930 |
| 6 | -3.830 |